DFT (PBE+U) results for a relaxed Ni2AsOsF crystal.

Geometry as POSCAR:
```
Ni2AsOsF
1.0
-3.659 -0.928 -0.499
1.131 -2.257 -4.092
0.556 -3.231 1.936
As Ni F Os
1 2 1 1
direct
0.000 0.500 0.000
0.500 0.000 0.000
0.000 0.000 0.500
0.000 0.000 0.000
0.500 0.500 0.500
```

Calculated values
- E_tot: -0.299 Ry/atom
- Crystal system: tetragonal
- Symmetry: P4/mmm